[1]
Here is a relaxed SrHo crystal from the Open Quantum Materials Database. Energies are from GGA-PBE.

Lattice parameters (Å, degrees): 7.0220 7.0220 7.0220 90.00 90.00 90.00
Space group Fm-3m (No. 225)
Symmetry-distinct sites (fractional):
Sr  0.0000  0.0000  0.0000 (multiplicity 4)
Ho  0.0000  0.0000  0.5000 (multiplicity 4)

Its energy above the most stable polymorph in this dataset is 627.7 meV per atom.


[2]
Here is a relaxed BaHfNb crystal from the Open Quantum Materials Database. Energies are from GGA-PBE.

Lattice parameters (Å, degrees): 6.9582 6.9582 6.9582 90.00 90.00 90.00
Space group F-43m (No. 216)
Symmetry-distinct sites (fractional):
Ba  0.0000  0.0000  0.0000 (multiplicity 4)
Hf  0.2500  0.2500  0.7500 (multiplicity 4)
Nb  0.2500  0.2500  0.2500 (multiplicity 4)

Its energy above the most stable polymorph in this dataset is 682.4 meV per atom.


[3]
Here is a relaxed BaIrAu crystal from the Open Quantum Materials Database. Energies are from GGA-PBE.

Lattice parameters (Å, degrees): 6.9010 6.9010 6.9010 90.00 90.00 90.00
Space group F-43m (No. 216)
Symmetry-distinct sites (fractional):
Ba  0.0000  0.0000  0.0000 (multiplicity 4)
Ir  0.2500  0.2500  0.7500 (multiplicity 4)
Au  0.0000  0.0000  0.5000 (multiplicity 4)

Its energy above the most stable polymorph in this dataset is 0.0 meV per atom.


[4]
Here is a relaxed YHoSeO2 crystal from the Open Quantum Materials Database. Energies are from GGA-PBE.

Lattice parameters (Å, degrees): 3.8156 3.8156 6.7561 90.00 90.00 120.00
Space group P3m1 (No. 156)
Symmetry-distinct sites (fractional):
Y  0.0000  0.0000  0.0000 (multiplicity 1)
Ho  0.3333  0.6667  0.5800 (multiplicity 1)
Se  0.6667  0.3333  0.2901 (multiplicity 1)
O  0.0000  0.0000  0.6605 (multiplicity 1)
O  0.3333  0.6667  0.9138 (multiplicity 1)

The uncorrected energy is -39.970 eV/cell.


[5]
Here is a relaxed NbTePO crystal from the Open Quantum Materials Database. Energies are from GGA-PBE.

Lattice parameters (Å, degrees): 4.2853 4.2853 9.4489 90.00 90.00 90.00
Space group P4/nmm (No. 129, origin choice 2)
Symmetry-distinct sites (fractional):
Nb  0.2500  0.2500  0.0327 (multiplicity 2)
Te  0.2500  0.7500  0.5000 (multiplicity 2)
P  0.2500  0.2500  0.2704 (multiplicity 2)
O  0.2500  0.7500  0.0000 (multiplicity 2)

Its energy above the most stable polymorph in this dataset is 386.3 meV per atom.


[6]
Here is a relaxed Na4ZnGaCu2 crystal from the Open Quantum Materials Database. Energies are from GGA-PBE.

Lattice parameters (Å, degrees): 4.7452 4.7452 6.6782 90.00 90.00 90.00
Space group P-4m2 (No. 115)
Symmetry-distinct sites (fractional):
Na  0.0000  0.0000  0.0000 (multiplicity 1)
Na  0.0000  0.5000  0.2463 (multiplicity 2)
Na  0.5000  0.5000  0.5000 (multiplicity 1)
Zn  0.5000  0.5000  0.0000 (multiplicity 1)
Ga  0.0000  0.0000  0.5000 (multiplicity 1)
Cu  0.0000  0.5000  0.7444 (multiplicity 2)

The uncorrected energy is -15.718 eV/cell.


[7]
Here is a relaxed SrMg2Zn4 crystal from the Open Quantum Materials Database. Energies are from GGA-PBE.

Lattice parameters (Å, degrees): 7.0119 7.0119 5.7296 90.00 90.00 90.00
Space group I4/mmm (No. 139)
Symmetry-distinct sites (fractional):
Sr  0.0000  0.0000  0.0000 (multiplicity 2)
Mg  0.0000  0.5000  0.2500 (multiplicity 4)
Zn  0.1832  0.1832  0.5000 (multiplicity 8)

The uncorrected energy is -22.332 eV/cell.


[8]
Here is a relaxed Dy2ZnF6 crystal from the Open Quantum Materials Database. Energies are from GGA-PBE.

Lattice parameters (Å, degrees): 7.5502 7.5502 7.5502 90.00 90.00 90.00
Space group Fm-3m (No. 225)
Symmetry-distinct sites (fractional):
Dy  0.2500  0.2500  0.2500 (multiplicity 8)
Zn  0.0000  0.0000  0.0000 (multiplicity 4)
F  0.0000  0.0000  0.2602 (multiplicity 24)

The uncorrected energy is -178.834 eV/cell.